DFT (GGA+U) results for an optimized crystal structure of SrNd3Ni2O8.

POSCAR file:
```
SrNd3Ni2O8
1.0
6.8330 -0.0009 0.0000
-4.7215 4.9394 0.0000
0.0000 0.0000 5.3934
Sr Nd Ni O
1 3 2 8
direct
0.8566 0.1434 0.5000
0.3632 0.6368 0.0000
0.6395 0.3605 0.0000
0.1367 0.8633 0.5000
0.4967 0.5033 0.5000
0.9960 0.0040 0.0000
0.1799 0.8201 0.0000
0.6641 0.3359 0.5000
0.3241 0.6759 0.5000
0.8243 0.1757 0.0000
0.2540 0.2446 0.7597
0.7554 0.7460 0.2403
0.2540 0.2446 0.2403
0.7554 0.7460 0.7597
```

Summary:
Space-group type: No. 38
Uncorrected energy in eV for the cell shown: -95.597